Entry 1:
A plane-wave DFT calculation with PBE was carried out for a relaxed structure of CsLaTi2.

Lattice parameters (Å, degrees): 5.3534 5.3534 5.3534 60.00 60.00 60.00
With the nearest neighbours (Å) after each atom.
Fractional coordinates of all 4 atoms:
1 Cs 0.0000 0.0000 0.0000  8 Ti 3.28
2 Ti 0.2500 0.2500 0.2500  4 La 3.28, 4 Cs 3.28
3 Ti 0.7500 0.7500 0.7500  4 Cs 3.28, 4 La 3.28
4 La 0.5000 0.5000 0.5000  8 Ti 3.28

Output
**DFT total energy**: -4.15 eV per atom
**SG**: Fm-3m (225)

Entry 2:
A plane-wave DFT calculation with PBE was carried out for a relaxed structure of Tb3YBi3.

Lattice parameters (Å, degrees): 9.1424 9.1424 8.2212 56.22 56.22 60.00
With the nearest neighbours (Å) after each atom.
Fractional coordinates of all 14 atoms:
1 Tb 0.1751 0.6618 0.2468  5 Bi 3.14-3.37
2 Tb 0.9163 0.1751 0.2468  5 Bi 3.14-3.37
3 Tb 0.6618 0.9163 0.2468  5 Bi 3.14-3.37
4 Tb 0.3382 0.0837 0.7532  5 Bi 3.14-3.37
5 Tb 0.0837 0.8249 0.7532  5 Bi 3.14-3.37
6 Tb 0.8249 0.3382 0.7532  5 Bi 3.14-3.37
7 Y 0.3334 0.3334 0.9998  6 Bi 3.23-3.25
8 Y 0.6666 0.6666 0.0002  6 Bi 3.23-3.25
9 Bi 0.4755 0.6945 0.7480  5 Tb 3.14-3.37, 2 Y 3.23-3.25
10 Bi 0.6945 0.0819 0.7480  5 Tb 3.14-3.37, 2 Y 3.23-3.25
11 Bi 0.0819 0.4755 0.7480  5 Tb 3.14-3.37, 2 Y 3.23-3.25
12 Bi 0.9181 0.5245 0.2520  5 Tb 3.14-3.37, 2 Y 3.23-3.25
13 Bi 0.3055 0.9181 0.2520  5 Tb 3.14-3.37, 2 Y 3.23-3.25
14 Bi 0.5245 0.3055 0.2520  5 Tb 3.14-3.37, 2 Y 3.23-3.25

Output
**Energy above the lowest structure with this stoichiometry**: 0.078 eV per atom
**SG**: R-3 (148)